[1]
DFT (PBE-GGA) results for a relaxed structure of ReAg2B.

final energy	-4.9596	eV per atom

The structure in CIF format:
```
data_ReAg2B
_symmetry_space_group_name_H-M 'F -4 3 m'
_symmetry_Int_Tables_number 216
_symmetry_space_group_name_Hall 'F -4 2 3'
_cell_length_a 6.097
_cell_length_b 6.097
_cell_length_c 6.097
_cell_angle_alpha 90.00
_cell_angle_beta 90.00
_cell_angle_gamma 90.00
loop_
_atom_site_label
_atom_site_type_symbol
_atom_site_fract_x
_atom_site_fract_y
_atom_site_fract_z
Re1 Re 0.000 0.000 0.000
Ag1 Ag 0.000 0.000 0.500
Ag2 Ag 0.250 0.250 0.250
B1 B 0.250 0.250 0.750
```

---

[2]
DFT (PBE-GGA) results for a relaxed structure of PaAlNO.

final energy	-7.4981	eV per atom

The structure in CIF format:
```
data_PaAlNO
_symmetry_space_group_name_H-M 'P 4/n m m'
_symmetry_Int_Tables_number 129
_cell_length_a 3.523
_cell_length_b 3.523
_cell_length_c 8.694
_cell_angle_alpha 90.00
_cell_angle_beta 90.00
_cell_angle_gamma 90.00
loop_
_symmetry_equiv_pos_as_xyz
'x,y,z'
'-x,-y,-z'
'-y+1/2,x,z'
'y+1/2,-x,-z'
'-x+1/2,-y+1/2,z'
'x+1/2,y+1/2,-z'
'y,-x+1/2,z'
'-y,x+1/2,-z'
'x+1/2,-y,-z'
'-x+1/2,y,z'
'-y,-x,-z'
'y,x,z'
'-x,y+1/2,-z'
'x,-y+1/2,z'
'y+1/2,x+1/2,-z'
'-y+1/2,-x+1/2,z'
loop_
_atom_site_label
_atom_site_type_symbol
_atom_site_fract_x
_atom_site_fract_y
_atom_site_fract_z
Pa1 Pa 0.250 0.250 0.176
Al1 Al 0.250 0.750 0.500
N1 N 0.250 0.250 0.746
O1 O 0.250 0.750 0.000
```

---

[3]
DFT (PBE-GGA) results for a relaxed structure of SmNbAl.

final energy	-5.4965	eV per atom

The structure in CIF format:
```
data_SmNbAl
_symmetry_space_group_name_H-M 'F -4 3 m'
_symmetry_Int_Tables_number 216
_symmetry_space_group_name_Hall 'F -4 2 3'
_cell_length_a 6.806
_cell_length_b 6.806
_cell_length_c 6.806
_cell_angle_alpha 90.00
_cell_angle_beta 90.00
_cell_angle_gamma 90.00
loop_
_atom_site_label
_atom_site_type_symbol
_atom_site_fract_x
_atom_site_fract_y
_atom_site_fract_z
Sm1 Sm 0.000 0.000 0.000
Nb1 Nb 0.250 0.250 0.250
Al1 Al 0.000 0.000 0.500
```

---

[4]
DFT (PBE-GGA) results for a relaxed structure of PaGeIr.

final energy	-7.6360	eV per atom

The structure in CIF format:
```
data_PaGeIr
_symmetry_space_group_name_H-M 'F -4 3 m'
_symmetry_Int_Tables_number 216
_symmetry_space_group_name_Hall 'F -4 2 3'
_cell_length_a 6.562
_cell_length_b 6.562
_cell_length_c 6.562
_cell_angle_alpha 90.00
_cell_angle_beta 90.00
_cell_angle_gamma 90.00
loop_
_atom_site_label
_atom_site_type_symbol
_atom_site_fract_x
_atom_site_fract_y
_atom_site_fract_z
Pa1 Pa 0.000 0.000 0.000
Ge1 Ge 0.250 0.250 0.750
Ir1 Ir 0.250 0.250 0.250
```

---

[5]
DFT (PBE-GGA) results for a relaxed structure of Y2Ga5Ni3.

final energy	-5.0973	eV per atom

The structure in CIF format:
```
data_Y2Ga5Ni3
_symmetry_space_group_name_H-M 'I b a m'
_symmetry_Int_Tables_number 72
_symmetry_space_group_name_Hall '-I 2 2c'
_cell_length_a 9.823
_cell_length_b 12.274
_cell_length_c 5.536
_cell_angle_alpha 90.00
_cell_angle_beta 90.00
_cell_angle_gamma 90.00
loop_
_atom_site_label
_atom_site_type_symbol
_atom_site_fract_x
_atom_site_fract_y
_atom_site_fract_z
Y1 Y 0.224 0.143 0.000
Ga1 Ga 0.000 0.000 0.250
Ga2 Ga 0.000 0.290 0.250
Ga3 Ga 0.172 0.410 0.000
Ni1 Ni 0.000 0.500 0.250
Ni2 Ni 0.093 0.144 0.500
```

---

[6]
DFT (PBE-GGA) results for a relaxed structure of Nd5TmSe6.

final energy	-5.9099	eV per atom

The structure in CIF format:
```
data_Nd5TmSe6
_symmetry_space_group_name_H-M 'C 1 2/m 1'
_symmetry_Int_Tables_number 12
_cell_length_a 7.261
_cell_length_b 12.582
_cell_length_c 7.245
_cell_angle_alpha 90.00
_cell_angle_beta 109.48
_cell_angle_gamma 90.00
loop_
_symmetry_equiv_pos_as_xyz
'x,y,z'
'-x,-y,-z'
'-x,y,-z'
'x,-y,z'
'x+1/2,y+1/2,z'
'-x+1/2,-y+1/2,-z'
'-x+1/2,y+1/2,-z'
'x+1/2,-y+1/2,z'
loop_
_atom_site_label
_atom_site_type_symbol
_atom_site_fract_x
_atom_site_fract_y
_atom_site_fract_z
Nd1 Nd 0.000 0.000 0.000
Nd2 Nd 0.000 0.168 0.500
Nd3 Nd 0.000 0.326 0.000
Tm1 Tm 0.000 0.500 0.500
Se1 Se 0.238 0.500 0.253
Se2 Se 0.241 0.340 0.741
```

---

Calculated density, 12.10 8.86 5.69 11.66 6.99 7.26 g/cm3 (same order as the records).